## USn4Pd15 (GGA-PBE)

Data for a geometry-optimized USn4Pd15 structure.

Values from the calculation:
space-group type: No. 123
calculated formation energy: -992 kJ/mol of formula units
total moment: 1.40 Bohr magnetons per cell

Lattice parameters (Å, degrees): 4.0602 4.0602 20.3002 90.00 90.00 90.00
Sites, in units of the cell vectors:
U: 0.0000 0.0000 0.0000
Sn: 0.0000 0.0000 0.2053
Sn: 0.0000 0.0000 0.4018
Sn: 0.0000 0.0000 0.5982
Sn: 0.0000 0.0000 0.7947
Pd: 0.0000 0.5000 0.1006
Pd: 0.0000 0.5000 0.3018
Pd: 0.0000 0.5000 0.5000
Pd: 0.0000 0.5000 0.6982
Pd: 0.0000 0.5000 0.8994
Pd: 0.5000 0.0000 0.1006
Pd: 0.5000 0.0000 0.3018
Pd: 0.5000 0.0000 0.5000
Pd: 0.5000 0.0000 0.6982
Pd: 0.5000 0.0000 0.8994
Pd: 0.5000 0.5000 0.0000
Pd: 0.5000 0.5000 0.2015
Pd: 0.5000 0.5000 0.4004
Pd: 0.5000 0.5000 0.5996
Pd: 0.5000 0.5000 0.7985

## SmYMgIr (GGA-PBE)

Data for a geometry-optimized SmYMgIr structure.

Values from the calculation:
space-group type: No. 216
calculated formation energy: -155 kJ/mol of formula units
total moment: 0.00 Bohr magnetons per cell

Lattice parameters (Å, degrees): 5.0866 5.0866 5.0866 60.00 60.00 60.00
Sites, in units of the cell vectors:
Sm: 0.0000 0.0000 0.0000
Y: 0.5000 0.5000 0.5000
Mg: 0.7500 0.7500 0.7500
Ir: 0.2500 0.2500 0.2500

## Cs2CuAs (GGA-PBE)

Data for a geometry-optimized Cs2CuAs structure.

Values from the calculation:
space-group type: No. 122
calculated formation energy: -68 kJ/mol of formula units
total moment: 0.00 Bohr magnetons per cell

Lattice parameters (Å, degrees): 9.6976 9.6976 9.6976 93.12 93.12 153.03
Sites, in units of the cell vectors:
Cs: 0.3750 0.1821 0.3071
Cs: 0.8179 0.1250 0.1929
Cs: 0.8750 0.0679 0.6929
Cs: 0.9321 0.6250 0.8071
Cu: 0.0000 0.0000 0.0000
Cu: 0.7500 0.2500 0.5000
As: 0.2500 0.7500 0.5000
As: 0.5000 0.5000 0.0000

- Which of these has the highest total moment?
  USn4Pd15

- Among the records above, which one has the lowest calculated formation energy?
  USn4Pd15

- Which of these has the highest total moment?
  USn4Pd15